P) A plane-wave DFT calculation with PBEsol was carried out for crystalline FeNiC3 at its relaxed geometry.

## Properties
- DOS at the Fermi energy: 2.3 states/eV/f.u.
- Calculated volume: 9.6 A^3/atom

a = 3.6298 Å, b = 3.6298 Å, c = 3.6298 Å
α = 90.00°, β = 90.00°, γ = 90.00°
With the nearest neighbours (Å) after each atom.
Space group Pm-3m (No. 221)
Symmetry-distinct sites (fractional):
Fe (0.0000, 0.0000, 0.0000) x1  6 C 1.81
Ni (0.5000, 0.5000, 0.5000) x1  12 C 2.57
C (0.0000, 0.0000, 0.5000) x3  2 Fe 1.81

=====

Q) A plane-wave DFT calculation with PBEsol was carried out for crystalline FeNiC3 at its relaxed geometry.

## Properties
- DOS at the Fermi energy: 4.9 states/eV/f.u.
- Calculated volume: 9.9 A^3/atom

a = 3.6707 Å, b = 3.6707 Å, c = 3.6707 Å
α = 90.00°, β = 90.00°, γ = 90.00°
With the nearest neighbours (Å) after each atom.
Space group Pm-3m (No. 221)
Symmetry-distinct sites (fractional):
Fe (0.0000, 0.0000, 0.0000) x1  12 C 2.60
Ni (0.5000, 0.5000, 0.5000) x1  6 C 1.84
C (0.0000, 0.5000, 0.5000) x3  2 Ni 1.84

=====

P) comes first in stability; the runner-up is 39.6 kJ/mol of atoms higher.

=====

P) A plane-wave DFT calculation with PBEsol was carried out for crystalline HfGa3C at its relaxed geometry.

## Properties
- DOS at the Fermi energy: 3.5 states/eV/f.u.
- Calculated volume: 27.1 A^3/atom

a = 5.1341 Å, b = 5.1341 Å, c = 5.1341 Å
α = 90.00°, β = 90.00°, γ = 90.00°
With the nearest neighbours (Å) after each atom.
Space group Pm-3m (No. 221)
Symmetry-distinct sites (fractional):
Hf (0.0000, 0.0000, 0.0000) x1  6 Ga 2.57
Ga (0.0000, 0.0000, 0.5000) x3  2 Hf 2.57
C (0.5000, 0.5000, 0.5000) x1  12 Ga 3.63

=====

Q) A plane-wave DFT calculation with PBEsol was carried out for crystalline HfGa3C at its relaxed geometry.

## Properties
- DOS at the Fermi energy: 2.8 states/eV/f.u.
- Calculated volume: 15.5 A^3/atom

a = 4.2611 Å, b = 4.2611 Å, c = 4.2611 Å
α = 90.00°, β = 90.00°, γ = 90.00°
With the nearest neighbours (Å) after each atom.
Space group Pm-3m (No. 221)
Symmetry-distinct sites (fractional):
Hf (0.0000, 0.0000, 0.0000) x1  12 Ga 3.01
Ga (0.0000, 0.5000, 0.5000) x3  2 C 2.13
C (0.5000, 0.5000, 0.5000) x1  6 Ga 2.13

=====

Q) comes first in stability; the runner-up is 132.8 kJ/mol of atoms higher.

=====

P) A plane-wave DFT calculation with PBEsol was carried out for crystalline Na2GeC at its relaxed geometry.

## Properties
- DOS at the Fermi energy: 1.7 states/eV/f.u.
- Calculated volume: 15.9 A^3/atom

a = 3.6550 Å, b = 3.6550 Å, c = 19.0930 Å
α = 90.00°, β = 90.00°, γ = 90.00°
With the nearest neighbours (Å) after each atom.
Space group I-42d (No. 122)
Symmetry-distinct sites (fractional):
Na (0.2191, 0.2500, 0.1250) x8  2 Na 2.43, 2 C 2.68
Ge (0.0000, 0.0000, 0.5000) x4  4 C 2.58, 4 Na 2.75
C (0.0000, 0.0000, 0.0000) x4  4 Ge 2.58, 4 Na 2.68

=====

Q) A plane-wave DFT calculation with PBEsol was carried out for crystalline Na2GeC at its relaxed geometry.

## Properties
- DOS at the Fermi energy: 1.0 states/eV/f.u.
- Calculated volume: 16.7 A^3/atom

a = 6.4352 Å, b = 6.4352 Å, c = 6.4352 Å
α = 90.00°, β = 90.00°, γ = 90.00°
With the nearest neighbours (Å) after each atom.
Space group Fm-3m (No. 225)
Symmetry-distinct sites (fractional):
Na (0.2500, 0.2500, 0.2500) x8  4 Ge 2.79, 4 C 2.79
Ge (0.0000, 0.0000, 0.0000) x4  8 Na 2.79
C (0.0000, 0.0000, 0.5000) x4  8 Na 2.79

=====

P) comes first in stability; the runner-up is 1.5 kJ/mol of atoms higher.

=====

P) A plane-wave DFT calculation with PBEsol was carried out for crystalline MgH6C2O6 at its relaxed geometry.

## Properties
- DOS at the Fermi energy: 0.0 states/eV/f.u.
- Calculated volume: 9.3 A^3/atom

a = 8.5686 Å, b = 7.0155 Å, c = 9.3738 Å
α = 90.00°, β = 98.15°, γ = 90.00°
With the nearest neighbours (Å) after each atom.
Space group P2_1/c (No. 14)
Symmetry-distinct sites (fractional):
Mg (0.0000, 0.0000, 0.0000) x2  6 O 2.05-2.16
Mg (0.5000, 0.0000, 0.5000) x2  6 O 2.06-2.10
H (0.0346, 0.1551, 0.2773) x4  1 O 1.00
H (0.1662, 0.0393, 0.6216) x4  1 C 1.11
H (0.2044, 0.1023, 0.2342) x4  1 O 1.00
H (0.2656, 0.6214, 0.4599) x4  1 O 1.00
H (0.2953, 0.1030, 0.9943) x4  1 O 1.00
H (0.4157, 0.7205, 0.7300) x4  1 C 1.11
C (0.1703, 0.6047, 0.0725) x4  1 H 1.11
C (0.4713, 0.2146, 0.2213) x4  1 H 1.11
O (0.0585, 0.7184, 0.0853) x4  1 C 1.27
O (0.0908, 0.1176, 0.1946) x4  2 H 1.00
O (0.2226, 0.0101, 0.9375) x4  2 H 1.00
O (0.2878, 0.6453, 0.0086) x4  1 C 1.27
O (0.4039, 0.0999, 0.2970) x4  1 C 1.27
O (0.4170, 0.2388, 0.5932) x4  1 C 1.27

=====

Q) A plane-wave DFT calculation with PBEsol was carried out for crystalline MgH6C2O6 at its relaxed geometry.

## Properties
- DOS at the Fermi energy: 0.0 states/eV/f.u.
- Calculated volume: 8.8 A^3/atom

a = 7.2258 Å, b = 8.6264 Å, c = 8.4658 Å
α = 90.00°, β = 90.00°, γ = 90.00°
With the nearest neighbours (Å) after each atom.
Space group Pbca (No. 61)
Symmetry-distinct sites (fractional):
Mg (0.0000, 0.0000, 0.0000) x4  6 O 2.05-2.12
H (0.0700, 0.1688, 0.3107) x8  1 C 1.11
H (0.1455, 0.0060, 0.6259) x8  1 O 0.99
H (0.1539, 0.6221, 0.9865) x8  1 O 1.00
C (0.0164, 0.2387, 0.7313) x8  1 H 1.11
O (0.0254, 0.0991, 0.7781) x8  1 C 1.27
O (0.0477, 0.7220, 0.4020) x8  1 C 1.27
O (0.2226, 0.5347, 0.0381) x8  2 H 0.99-1.00

=====

P) comes first in stability; the runner-up is 0.7 kJ/mol of atoms higher.

=====

P) A plane-wave DFT calculation with PBEsol was carried out for crystalline Hg3C at its relaxed geometry.

## Properties
- DOS at the Fermi energy: 1.3 states/eV/f.u.
- Calculated volume: 21.1 A^3/atom

a = 4.1164 Å, b = 10.7070 Å, c = 3.8226 Å
α = 90.00°, β = 90.00°, γ = 90.00°
With the nearest neighbours (Å) after each atom.
Space group Cmmm (No. 65)
Symmetry-distinct sites (fractional):
Hg (0.0000, 0.0000, 0.0000) x2  2 C 2.06
Hg (0.0000, 0.3415, 0.5000) x4  2 C 2.56, 2 Hg 2.84
C (0.0000, 0.5000, 0.0000) x2  2 Hg 2.06

=====

Q) A plane-wave DFT calculation with PBEsol was carried out for crystalline Hg3C at its relaxed geometry.

## Properties
- DOS at the Fermi energy: 1.9 states/eV/f.u.
- Calculated volume: 18.3 A^3/atom

a = 6.6431 Å, b = 6.6431 Å, c = 6.6431 Å
α = 90.00°, β = 90.00°, γ = 90.00°
With the nearest neighbours (Å) after each atom.
Space group Fm-3m (No. 225)
Symmetry-distinct sites (fractional):
Hg (0.0000, 0.0000, 0.0000) x4  8 Hg 2.88
Hg (0.2500, 0.2500, 0.2500) x8  4 C 2.88, 4 Hg 2.88
C (0.0000, 0.0000, 0.5000) x4  8 Hg 2.88

=====

R) A plane-wave DFT calculation with PBEsol was carried out for crystalline Hg3C at its relaxed geometry.

## Properties
- DOS at the Fermi energy: 2.1 states/eV/f.u.
- Calculated volume: 26.3 A^3/atom

a = 4.7183 Å, b = 4.7183 Å, c = 4.7183 Å
α = 90.00°, β = 90.00°, γ = 90.00°
With the nearest neighbours (Å) after each atom.
Space group Pm-3m (No. 221)
Symmetry-distinct sites (fractional):
Hg (0.0000, 0.0000, 0.5000) x3  2 C 2.36
C (0.0000, 0.0000, 0.0000) x1  6 Hg 2.36

=====

P) comes first in stability; the runner-up is 14.2 kJ/mol of atoms higher.

=====

P) A plane-wave DFT calculation with PBEsol was carried out for crystalline HgC at its relaxed geometry.

## Properties
- DOS at the Fermi energy: 1.4 states/eV/f.u.
- Calculated volume: 15.3 A^3/atom

a = 3.3097 Å, b = 5.6858 Å, c = 3.2573 Å
α = 90.00°, β = 90.00°, γ = 90.00°
With the nearest neighbours (Å) after each atom.
Space group Cmmm (No. 65)
Symmetry-distinct sites (fractional):
Hg (0.0000, 0.0000, 0.0000) x2  4 C 2.32
C (0.0000, 0.5000, 0.5000) x2  4 Hg 2.32

=====

Q) A plane-wave DFT calculation with PBEsol was carried out for crystalline HgC at its relaxed geometry.

## Properties
- DOS at the Fermi energy: 1.5 states/eV/f.u.
- Calculated volume: 16.8 A^3/atom

a = 3.6541 Å, b = 3.6541 Å, c = 5.7995 Å
α = 90.00°, β = 90.00°, γ = 120.00°
With the nearest neighbours (Å) after each atom.
Space group P6_3mc (No. 186)
Symmetry-distinct sites (fractional):
Hg (0.3333, 0.6667, 0.0000) x2  4 C 2.21-2.24
C (0.3333, 0.6667, 0.3871) x2  4 Hg 2.21-2.24

=====

Q) comes first in stability; the runner-up is 20.8 kJ/mol of atoms higher.